Record 1
# BeNi PBE-GGA relaxed
data_BeNi
_space_group_name_H-M_alt 'P 1'
_space_group_IT_number 1
_space_group_name_Hall 'P 1'
_cell_length_a 2.431
_cell_length_b 2.431
_cell_length_c 7.458
_cell_angle_alpha 90.00
_cell_angle_beta 90.00
_cell_angle_gamma 120.00
loop_
_atom_site_label
_atom_site_fract_x
_atom_site_fract_y
_atom_site_fract_z
Be1 0.333 0.667 0.123
Be2 0.667 0.333 0.877
Ni1 0.333 0.667 0.641
Ni2 0.667 0.333 0.359
# Electronic total energy, eV for the cell shown: -19.43
# Energy of formation from the pure elements, meV/atom: -104

---

Record 2
# LaPmEuMg PBE-GGA relaxed
data_LaPmEuMg
_space_group_name_H-M_alt 'P 1'
_space_group_IT_number 1
_space_group_name_Hall 'P 1'
_cell_length_a 5.744
_cell_length_b 5.744
_cell_length_c 5.744
_cell_angle_alpha 60.00
_cell_angle_beta 60.00
_cell_angle_gamma 60.00
loop_
_atom_site_label
_atom_site_fract_x
_atom_site_fract_y
_atom_site_fract_z
La1 0.000 0.000 0.000
Pm1 0.500 0.500 0.500
Eu1 0.250 0.250 0.250
Mg1 0.750 0.750 0.750
# Electronic total energy, eV for the cell shown: -21.41
# Energy of formation from the pure elements, meV/atom: 34